This record from Alexandria describes a PBEsol-optimized structure of TePW2. The functional is meta-GGA SCAN.

Calculated values
Relative energy among the computed polymorphs   0.343 eV/atom
Formation energy (no corrections)   760 meV per atom
Total DFT energy (no corrections)   -46.00 eV/atom

a b c (Å): 3.301 5.060 8.112
angles (deg): 90.00 90.00 90.00
Space group Immm (No. 71)
Inequivalent atoms, fractional coordinates:
Te  0.000  0.000  0.000 [2 per cell]
P  0.000  0.000  0.500 [2 per cell]
W  0.000  0.500  0.203 [4 per cell]